# Mg2Cr2Mo, relaxed, DFT GGA-PBE
data_Mg2Cr2Mo
_chemical_formula_sum 'Mg4 Cr4 Mo2'
_symmetry_space_group_name_H-M 'P 4/m b m'
_symmetry_Int_Tables_number 127
_symmetry_space_group_name_Hall '-P 4 2ab'
_cell_length_a 7.391
_cell_length_b 7.391
_cell_length_c 2.787
_cell_angle_alpha 90.00
_cell_angle_beta 90.00
_cell_angle_gamma 90.00
loop_
_atom_site_label
_atom_site_type_symbol
_atom_site_fract_x
_atom_site_fract_y
_atom_site_fract_z
Mg1 Mg 0.125 0.375 0.000
Cr1 Cr 0.177 0.677 0.500
Mo1 Mo 0.000 0.000 0.000
# - energy above the lowest structure with this stoichiometry (meV per atom) = 227
# - theoretical density (g/cm3) = 5.4

=====

# Mg2CrMo, relaxed, DFT GGA-PBE
data_Mg2CrMo
_chemical_formula_sum 'Mg2 Cr1 Mo1'
_symmetry_space_group_name_H-M 'P m m m'
_symmetry_Int_Tables_number 47
_cell_length_a 3.380
_cell_length_b 4.177
_cell_length_c 4.663
_cell_angle_alpha 90.00
_cell_angle_beta 90.00
_cell_angle_gamma 90.00
loop_
_symmetry_equiv_pos_as_xyz
'x,y,z'
'-x,-y,-z'
'-x,-y,z'
'x,y,-z'
'x,-y,-z'
'-x,y,z'
'-x,y,-z'
'x,-y,z'
loop_
_atom_site_label
_atom_site_type_symbol
_atom_site_fract_x
_atom_site_fract_y
_atom_site_fract_z
Mg1 Mg 0.000 0.000 0.000
Mg2 Mg 0.500 0.500 0.000
Cr1 Cr 0.000 0.500 0.500
Mo1 Mo 0.500 0.000 0.500
# - energy above the lowest structure with this stoichiometry (meV per atom) = 206
# - theoretical density (g/cm3) = 5.0

=====

# Mg2CrMo, relaxed, DFT GGA-PBE
data_Mg2CrMo
_chemical_formula_sum 'Mg8 Cr4 Mo4'
_symmetry_space_group_name_H-M 'I -4 2 d'
_symmetry_Int_Tables_number 122
_symmetry_space_group_name_Hall 'I -4 2bw'
_cell_length_a 7.292
_cell_length_b 7.292
_cell_length_c 5.149
_cell_angle_alpha 90.00
_cell_angle_beta 90.00
_cell_angle_gamma 90.00
loop_
_atom_site_label
_atom_site_type_symbol
_atom_site_fract_x
_atom_site_fract_y
_atom_site_fract_z
Mg1 Mg 0.236 0.250 0.125
Cr1 Cr 0.000 0.000 0.000
Mo1 Mo 0.000 0.000 0.500
# - energy above the lowest structure with this stoichiometry (meV per atom) = 837
# - theoretical density (g/cm3) = 4.8

=====

# Mg6CrMo, relaxed, DFT GGA-PBE
data_Mg6CrMo
_chemical_formula_sum 'Mg12 Cr2 Mo2'
_symmetry_space_group_name_H-M 'A m m 2'
_symmetry_Int_Tables_number 38
_cell_length_a 4.759
_cell_length_b 5.958
_cell_length_c 11.004
_cell_angle_alpha 90.00
_cell_angle_beta 90.00
_cell_angle_gamma 90.00
loop_
_symmetry_equiv_pos_as_xyz
'x,y,z'
'-x,-y,z'
'-x,y,z'
'x,-y,z'
'x,y+1/2,z+1/2'
'-x,-y+1/2,z+1/2'
'-x,y+1/2,z+1/2'
'x,-y+1/2,z+1/2'
loop_
_atom_site_label
_atom_site_type_symbol
_atom_site_fract_x
_atom_site_fract_y
_atom_site_fract_z
Mg1 Mg 0.000 0.000 0.000
Mg2 Mg 0.000 0.239 0.252
Mg3 Mg 0.500 0.000 0.844
Mg4 Mg 0.500 0.245 0.597
Cr1 Cr 0.000 0.000 0.478
Mo1 Mo 0.500 0.000 0.367
# - energy above the lowest structure with this stoichiometry (meV per atom) = 0
# - theoretical density (g/cm3) = 3.1

=====

# Mg2CrMo, relaxed, DFT GGA-PBE
data_Mg2CrMo
_chemical_formula_sum 'Mg8 Cr4 Mo4'
_symmetry_space_group_name_H-M 'F -4 3 m'
_symmetry_Int_Tables_number 216
_symmetry_space_group_name_Hall 'F -4 2 3'
_cell_length_a 6.435
_cell_length_b 6.435
_cell_length_c 6.435
_cell_angle_alpha 90.00
_cell_angle_beta 90.00
_cell_angle_gamma 90.00
loop_
_atom_site_label
_atom_site_type_symbol
_atom_site_fract_x
_atom_site_fract_y
_atom_site_fract_z
Mg1 Mg 0.000 0.000 0.000
Mg2 Mg 0.250 0.250 0.250
Cr1 Cr 0.000 0.000 0.500
Mo1 Mo 0.250 0.250 0.750
# - energy above the lowest structure with this stoichiometry (meV per atom) = 161
# - theoretical density (g/cm3) = 4.9

=====

# Mg2CrMo, relaxed, DFT GGA-PBE
data_Mg2CrMo
_chemical_formula_sum 'Mg4 Cr2 Mo2'
_symmetry_space_group_name_H-M 'C 1 m 1'
_symmetry_Int_Tables_number 8
_cell_length_a 9.084
_cell_length_b 2.680
_cell_length_c 5.370
_cell_angle_alpha 90.00
_cell_angle_beta 92.74
_cell_angle_gamma 90.00
loop_
_symmetry_equiv_pos_as_xyz
'x,y,z'
'x,-y,z'
'x+1/2,y+1/2,z'
'x+1/2,-y+1/2,z'
loop_
_atom_site_label
_atom_site_type_symbol
_atom_site_fract_x
_atom_site_fract_y
_atom_site_fract_z
Mg1 Mg 0.000 0.000 0.000
Mg2 Mg 0.247 0.000 0.744
Cr1 Cr 0.244 0.500 0.276
Mo1 Mo 0.001 0.500 0.471
# - energy above the lowest structure with this stoichiometry (meV per atom) = 214
# - theoretical density (g/cm3) = 5.0

=====

# MgCrMo2, relaxed, DFT GGA-PBE
data_MgCrMo2
_chemical_formula_sum 'Mg2 Cr2 Mo4'
_symmetry_space_group_name_H-M 'C m m m'
_symmetry_Int_Tables_number 65
_symmetry_space_group_name_Hall '-C 2 2'
_cell_length_a 3.130
_cell_length_b 4.430
_cell_length_c 8.923
_cell_angle_alpha 90.00
_cell_angle_beta 90.00
_cell_angle_gamma 90.00
loop_
_atom_site_label
_atom_site_type_symbol
_atom_site_fract_x
_atom_site_fract_y
_atom_site_fract_z
Mg1 Mg 0.000 0.000 0.000
Cr1 Cr 0.000 0.000 0.500
Mo1 Mo 0.000 0.500 0.274
# - theoretical density (g/cm3) = 7.2

=====

# MgCrMo2, relaxed, DFT GGA-PBE
data_MgCrMo2
_chemical_formula_sum 'Mg2 Cr2 Mo4'
_symmetry_space_group_name_H-M 'C m m 2'
_symmetry_Int_Tables_number 35
_cell_length_a 3.137
_cell_length_b 4.429
_cell_length_c 8.954
_cell_angle_alpha 90.00
_cell_angle_beta 90.00
_cell_angle_gamma 90.00
loop_
_symmetry_equiv_pos_as_xyz
'x,y,z'
'-x,-y,z'
'-x,y,z'
'x,-y,z'
'x+1/2,y+1/2,z'
'-x+1/2,-y+1/2,z'
'-x+1/2,y+1/2,z'
'x+1/2,-y+1/2,z'
loop_
_atom_site_label
_atom_site_type_symbol
_atom_site_fract_x
_atom_site_fract_y
_atom_site_fract_z
Mg1 Mg 0.000 0.000 0.000
Cr1 Cr 0.000 0.500 0.255
Mo1 Mo 0.000 0.000 0.477
Mo2 Mo 0.000 0.500 0.727
# - theoretical density (g/cm3) = 7.2

=====

# MgCrMo2, relaxed, DFT GGA-PBE
data_MgCrMo2
_chemical_formula_sum 'Mg1 Cr1 Mo2'
_symmetry_space_group_name_H-M 'P 4 m m'
_symmetry_Int_Tables_number 99
_cell_length_a 3.151
_cell_length_b 3.151
_cell_length_c 6.489
_cell_angle_alpha 90.00
_cell_angle_beta 90.00
_cell_angle_gamma 90.00
loop_
_symmetry_equiv_pos_as_xyz
'x,y,z'
'-y,x,z'
'-x,-y,z'
'y,-x,z'
'-x,y,z'
'y,x,z'
'x,-y,z'
'-y,-x,z'
loop_
_atom_site_label
_atom_site_type_symbol
_atom_site_fract_x
_atom_site_fract_y
_atom_site_fract_z
Mg1 Mg 0.000 0.000 0.000
Cr1 Cr 0.500 0.500 0.725
Mo1 Mo 0.000 0.000 0.515
Mo2 Mo 0.500 0.500 0.286
# - theoretical density (g/cm3) = 6.9

=====

# MgCrMo2, relaxed, DFT GGA-PBE
data_MgCrMo2
_chemical_formula_sum 'Mg1 Cr1 Mo2'
_symmetry_space_group_name_H-M 'P 4 m m'
_symmetry_Int_Tables_number 99
_cell_length_a 2.612
_cell_length_b 2.612
_cell_length_c 9.183
_cell_angle_alpha 90.00
_cell_angle_beta 90.00
_cell_angle_gamma 90.00
loop_
_symmetry_equiv_pos_as_xyz
'x,y,z'
'-y,x,z'
'-x,-y,z'
'y,-x,z'
'-x,y,z'
'y,x,z'
'x,-y,z'
'-y,-x,z'
loop_
_atom_site_label
_atom_site_type_symbol
_atom_site_fract_x
_atom_site_fract_y
_atom_site_fract_z
Mg1 Mg 0.000 0.000 0.000
Cr1 Cr 0.500 0.500 0.757
Mo1 Mo 0.000 0.000 0.521
Mo2 Mo 0.500 0.500 0.263
# - theoretical density (g/cm3) = 7.1

=====

# MgCrMo2, relaxed, DFT GGA-PBE
data_MgCrMo2
_chemical_formula_sum 'Mg2 Cr2 Mo4'
_symmetry_space_group_name_H-M 'I 4/m m m'
_symmetry_Int_Tables_number 139
_symmetry_space_group_name_Hall '-I 4 2'
_cell_length_a 3.770
_cell_length_b 3.770
_cell_length_c 8.944
_cell_angle_alpha 90.00
_cell_angle_beta 90.00
_cell_angle_gamma 90.00
loop_
_atom_site_label
_atom_site_type_symbol
_atom_site_fract_x
_atom_site_fract_y
_atom_site_fract_z
Mg1 Mg 0.000 0.000 0.000
Cr1 Cr 0.000 0.000 0.500
Mo1 Mo 0.000 0.500 0.250
# - theoretical density (g/cm3) = 7.0

=====

# MgCr2Mo, relaxed, DFT GGA-PBE
data_MgCr2Mo
_chemical_formula_sum 'Mg2 Cr4 Mo2'
_symmetry_space_group_name_H-M 'C m m 2'
_symmetry_Int_Tables_number 35
_cell_length_a 3.046
_cell_length_b 4.352
_cell_length_c 8.690
_cell_angle_alpha 90.00
_cell_angle_beta 90.00
_cell_angle_gamma 90.00
loop_
_symmetry_equiv_pos_as_xyz
'x,y,z'
'-x,-y,z'
'-x,y,z'
'x,-y,z'
'x+1/2,y+1/2,z'
'-x+1/2,-y+1/2,z'
'-x+1/2,y+1/2,z'
'x+1/2,-y+1/2,z'
loop_
_atom_site_label
_atom_site_type_symbol
_atom_site_fract_x
_atom_site_fract_y
_atom_site_fract_z
Mg1 Mg 0.000 0.000 0.000
Cr1 Cr 0.000 0.000 0.473
Cr2 Cr 0.000 0.500 0.267
Mo1 Mo 0.000 0.500 0.715
# - theoretical density (g/cm3) = 6.5

=====

no.,calculated formation energy (eV per formula unit)
1,4.925
2,1.727
3,4.251
4,2.158
5,1.546
6,1.758
7,0.897
8,1.024
9,1.288
10,1.914
11,1.744
12,1.141